Entry from Alexandria: a geometry-optimized Al5Ga7 structure (PBE).

Values from the calculation:
VASP energy ... -3.2338 eV/atom
Symmetry ... C2/m (12)
ΔE_f ... 91.3 meV per atom
Distance to the lowest polymorph of the same formula ... 42.5 meV per atom

Geometry as POSCAR:
```
Al5Ga7
1.0
4.2241 0.0000 0.0000
-2.1121 5.7855 0.0272
0.0000 -2.5856 9.6461
Al Ga
5 7
Cartesian
0.0000 -0.0810 3.7323
2.1121 3.2810 5.9410
0.0000 1.9954 1.9201
2.1121 1.2045 7.7532
0.0000 0.0000 0.0000
0.0000 1.5686 5.9257
2.1121 1.6314 3.7476
2.1121 3.7754 1.9998
0.0000 -0.5754 7.6735
2.1121 -0.9163 9.6051
2.1121 -1.2928 4.8231
0.0000 4.1163 0.0682
```

---

Entry from Alexandria: a geometry-optimized AlGa structure (PBE).

Values from the calculation:
VASP energy ... -3.3534 eV/atom
Symmetry ... Pmmn (59)
ΔE_f ... 31.3 meV per atom

Geometry as POSCAR:
```
AlGa
1.0
3.0375 0.0000 0.0000
0.0000 3.9218 0.4345
0.0000 -0.6402 5.7785
Al Ga
2 2
Cartesian
0.7594 0.9005 0.8305
2.2781 2.3811 5.3826
0.7594 0.5766 3.7542
2.2781 2.7050 2.4588
```

---

Entry from Alexandria: a geometry-optimized AlGa structure (PBE).

Values from the calculation:
VASP energy ... -3.2806 eV/atom
Symmetry ... P6_3/m (176)
ΔE_f ... 104.1 meV per atom

Geometry as POSCAR:
```
AlGa
1.0
-3.5479 6.9829 -2.4624
1.6024 -5.9327 -5.4448
-3.6510 -1.6138 0.6840
Al Ga
6 6
Cartesian
-2.8930 3.1698 -1.9682
-3.5127 -1.3835 -4.0297
-3.2549 2.8330 -4.6948
-2.7035 -3.7335 -5.2549
-2.0838 0.8198 -3.1935
-2.3416 -3.3967 -2.5284
-4.0505 5.1393 -3.5000
-3.8510 -1.7640 -6.7327
-2.4356 0.4830 -5.8660
-1.5460 -5.7030 -3.7231
-1.7455 1.2002 -0.4905
-3.1609 -1.0468 -1.3572
```

---

Entry from Alexandria: a geometry-optimized Al11Ga3 structure (PBE).

Values from the calculation:
VASP energy ... -3.5069 eV/atom
Symmetry ... Immm (71)
ΔE_f ... 82.3 meV per atom

Geometry as POSCAR:
```
Al11Ga3
1.0
-2.1948 -1.8911 -2.4734
2.8166 -7.8791 0.5913
-6.2798 -2.8187 4.7941
Al Ga
11 3
Cartesian
-1.7316 -5.3489 2.6927
-4.3755 -5.4341 2.1706
-1.2824 -7.1548 0.7414
-6.1051 -3.3160 2.0859
0.4471 -9.2729 0.8261
0.7554 -7.1326 -1.0838
-6.4133 -5.4563 3.9958
-2.3340 -9.7059 0.6916
-3.3239 -2.8830 2.2203
-5.9401 -7.6998 2.3577
0.2821 -4.8891 0.5542
0.0000 0.0000 0.0000
-2.5703 -4.4984 -0.1467
-3.0876 -8.0904 3.0587
```

---

Entry from Alexandria: a geometry-optimized AlGa6 structure (PBE).

Values from the calculation:
VASP energy ... -3.0804 eV/atom
Symmetry ... P4/mmm (123)
ΔE_f ... 48.7 meV per atom
Distance to the lowest polymorph of the same formula ... 0.0 meV per atom

Geometry as POSCAR:
```
AlGa6
1.0
4.0779 0.0000 0.0000
0.0000 4.0779 0.0000
0.0000 0.0000 8.0708
Al Ga
1 6
Cartesian
0.0000 0.0000 0.0000
0.0000 0.0000 4.0354
2.0390 2.0390 0.0000
2.0390 0.0000 5.9339
0.0000 2.0390 2.1369
2.0390 0.0000 2.1369
0.0000 2.0390 5.9339
```

---

Entry from Alexandria: a geometry-optimized AlGa3 structure (PBE).

Values from the calculation:
VASP energy ... -3.1598 eV/atom
Symmetry ... Pmm2 (25)
ΔE_f ... 46.0 meV per atom

Geometry as POSCAR:
```
AlGa3
1.0
3.1091 0.0000 0.0000
0.0000 4.7128 0.0000
0.0000 0.0000 4.9888
Al Ga
1 3
Cartesian
0.0000 3.1565 0.0000
1.5546 0.7843 0.0000
1.5546 2.3535 2.4944
0.0000 4.7022 2.4944
```

---

Entry from Alexandria: a geometry-optimized AlGa structure (PBE).

Values from the calculation:
VASP energy ... -2.8565 eV/atom
Symmetry ... Pm-3n (223)
ΔE_f ... 528.2 meV per atom

Geometry as POSCAR:
```
AlGa
1.0
-1.5694 3.5846 -6.1101
5.5699 -3.2424 -3.3329
-4.3770 -5.4113 -2.0504
Al Ga
6 6
Cartesian
-2.5809 -1.8095 -2.5527
-3.3656 -0.0172 -5.6077
1.6907 -2.9740 -2.1790
-0.4978 -5.6797 -3.2042
0.6078 0.9817 -3.8882
3.3927 -0.6395 -5.5547
2.3926 -0.7251 -3.1940
1.6079 1.0672 -6.2490
-1.8790 0.4395 -3.5676
-4.0675 -2.2662 -4.5928
-0.7960 -3.5163 -1.8584
1.9889 -5.1375 -3.5249
```

---

Entry from Alexandria: a geometry-optimized AlGa structure (PBE).

Values from the calculation:
VASP energy ... -3.2331 eV/atom
Symmetry ... Fddd (70)
ΔE_f ... 151.6 meV per atom

Geometry as POSCAR:
```
AlGa
1.0
7.7387 0.0000 0.0000
0.0000 15.5249 0.0000
0.0000 0.0000 5.1807
Al Ga
16 16
Cartesian
0.0000 14.2037 0.0000
0.0000 1.3212 0.0000
1.9347 12.9648 1.2952
1.9347 10.3225 1.2952
0.0000 6.4413 2.5904
0.0000 9.0836 2.5904
1.9347 5.2024 3.8856
1.9347 2.5601 3.8856
3.8693 14.2037 2.5904
3.8693 1.3212 2.5904
5.8040 12.9648 3.8856
5.8040 10.3225 3.8856
3.8693 6.4413 0.0000
3.8693 9.0836 0.0000
5.8040 5.2024 1.2952
5.8040 2.5601 1.2952
2.5313 0.0000 0.0000
5.2073 0.0000 0.0000
7.1420 11.6437 1.2952
4.4660 11.6437 1.2952
2.5313 7.7624 2.5904
5.2073 7.7624 2.5904
7.1420 3.8812 3.8856
4.4660 3.8812 3.8856
6.4006 0.0000 2.5904
1.3380 0.0000 2.5904
3.2727 11.6437 3.8856
0.5967 11.6437 3.8856
6.4006 7.7624 0.0000
1.3380 7.7624 0.0000
3.2727 3.8812 1.2952
0.5967 3.8812 1.2952
```

---

- What is the ΔE_f in the second record?
  31.3 meV per atom